Material: Hf2V2Ru
Method: DFT, GGA-PBE
State: optimized geometry

abc: 6.2788 6.2788 4.4339
angles: 90.00 90.00 90.00
Fractional coordinates of all 10 atoms:
1 Ru 0.0000 0.0000 0.0000
2 Ru 0.5000 0.5000 0.0000
3 V 0.6400 0.1400 0.0000
4 V 0.3600 0.8600 0.0000
5 V 0.1400 0.3600 0.0000
6 V 0.8600 0.6400 0.0000
7 Hf 0.1692 0.6692 0.5000
8 Hf 0.6692 0.8308 0.5000
9 Hf 0.3308 0.1692 0.5000
10 Hf 0.8308 0.3308 0.5000

Computed properties:
symmetry = No. 127
final energy = -95.3 eV/cell
formation energy = -0.049 eV/atom

=====

Material: HfVRu3
Method: DFT, GGA-PBE
State: optimized geometry

abc: 4.4332 4.4332 4.4332
angles: 90.00 90.00 90.00
Fractional coordinates of all 5 atoms:
1 Ru 0.5000 0.0000 0.0000
2 Ru 0.0000 0.0000 0.5000
3 Ru 0.0000 0.5000 0.0000
4 Hf 0.5000 0.5000 0.5000
5 V 0.0000 0.0000 0.0000

Computed properties:
polymorph energy (0 for the lowest one) = 0.000 eV/atom
symmetry = No. 221
final energy = -44.5 eV/cell
formation energy = 0.472 eV/atom

=====

Material: Hf2V3Ru
Method: DFT, GGA-PBE
State: optimized geometry

abc: 5.1966 5.1966 5.1509
angles: 89.95 120.34 120.01
Fractional coordinates of all 6 atoms:
1 V 0.5000 0.5000 0.5000
2 V 0.5000 0.0000 0.5000
3 V 0.0000 0.0000 0.5000
4 Ru 0.0000 0.0000 0.0000
5 Hf 0.7500 0.3750 0.1250
6 Hf 0.2500 0.6250 0.8750

Computed properties:
polymorph energy (0 for the lowest one) = 0.000 eV/atom
symmetry = No. 166
final energy = -58.4 eV/cell
formation energy = -0.314 eV/atom

=====

Material: Hf3VRu
Method: DFT, GGA-PBE
State: optimized geometry

abc: 4.7318 4.7318 4.7318
angles: 90.00 90.00 90.00
Fractional coordinates of all 5 atoms:
1 Hf 0.5000 0.0000 0.0000
2 Hf 0.0000 0.0000 0.5000
3 Hf 0.0000 0.5000 0.0000
4 Ru 0.5000 0.5000 0.5000
5 V 0.0000 0.0000 0.0000

Computed properties:
polymorph energy (0 for the lowest one) = 0.289 eV/atom
symmetry = No. 221
final energy = -43.7 eV/cell
formation energy = 0.910 eV/atom

=====

Material: Hf2V3Ru
Method: DFT, GGA-PBE
State: optimized geometry

abc: 5.2370 5.2370 8.2565
angles: 90.00 90.00 120.00
Fractional coordinates of all 12 atoms:
1 V 0.6592 0.8296 0.7500
2 V 0.1704 0.3408 0.7500
3 V 0.8296 0.6592 0.2500
4 V 0.3408 0.1704 0.2500
5 V 0.8296 0.1704 0.2500
6 V 0.1704 0.8296 0.7500
7 Hf 0.6667 0.3333 0.5604
8 Hf 0.6667 0.3333 0.9396
9 Hf 0.3333 0.6667 0.0604
10 Hf 0.3333 0.6667 0.4396
11 Ru 0.0000 0.0000 0.0000
12 Ru 0.0000 0.0000 0.5000

Computed properties:
polymorph energy (0 for the lowest one) = 0.010 eV/atom
symmetry = No. 194
final energy = -116.7 eV/cell
formation energy = -0.303 eV/atom

=====

Material: Hf2VRuW
Method: DFT, GGA-PBE
State: optimized geometry

abc: 4.9370 4.3074 4.9370
angles: 90.00 90.00 90.00
Fractional coordinates of all 5 atoms:
1 Hf 0.5000 0.0000 0.0000
2 Hf 0.0000 0.0000 0.5000
3 W 0.5000 0.5000 0.5000
4 Ru 0.0000 0.0000 0.0000
5 V 0.0000 0.5000 0.0000

Computed properties:
symmetry = No. 123
final energy = -46.1 eV/cell
formation energy = 1.025 eV/atom

=====

| no. | theoretical density (g/cm3) |
| --- | --- |
| 1 | 10.6 |
| 2 | 10.2 |
| 3 | 10.4 |
| 4 | 10.8 |
| 5 | 10.3 |
| 6 | 11.0 |